A relaxed structure of Ga4CuRh7, computed with GGA-PBE.

a = 4.4971 Å, b = 7.4589 Å, c = 6.2977 Å
α = 78.72°, β = 69.08°, γ = 72.45°
Fractional coordinates of all 12 atoms:
Rh 0.5000 0.0000 0.0000
Ga 0.7134 0.6668 0.9063
Rh 0.9251 0.3319 0.8180
Rh 0.3522 0.5723 0.7233
Ga 0.4256 0.7819 0.3668
Cu 0.0000 0.0000 0.0000
Rh 0.7905 0.8739 0.5451
Rh 0.2095 0.1261 0.4549
Rh 0.6478 0.4277 0.2767
Rh 0.0749 0.6681 0.1820
Ga 0.5744 0.2181 0.6332
Ga 0.2866 0.3332 0.0937

VASP energy = -5.765 eV per atom
calculated formation energy = -0.126 eV per atom
N(E_F) = 1.22 states/eV/atom
space group = No. 12

=====

A relaxed structure of La3SmTh2Se6, computed with GGA-PBE.

a = 7.3433 Å, b = 7.3433 Å, c = 7.3786 Å
α = 99.54°, β = 99.54°, γ = 119.75°
Fractional coordinates of all 12 atoms:
Se 0.2499 0.2499 0.7571
Se 0.0809 0.4121 0.2428
Se 0.7501 0.7501 0.2429
Th 0.6666 0.3334 0.0000
Se 0.4121 0.0809 0.2428
La 0.5000 0.5000 0.5000
Th 0.3334 0.6666 0.0000
La 0.1666 0.8334 0.5000
La 0.8334 0.1666 0.5000
Se 0.5879 0.9191 0.7572
Se 0.9191 0.5879 0.7572
Sm 0.0000 0.0000 0.0000

VASP energy = -6.414 eV per atom
energy relative to the elements, uncorrected = -1.8101 eV/atom
N(E_F) = 0.64 states/eV/atom
space group = No. 12

=====

A relaxed structure of Lu2TiIn, computed with GGA-PBE.

a = 3.4242 Å, b = 3.4242 Å, c = 8.2465 Å
α = 90.00°, β = 90.00°, γ = 90.00°
Fractional coordinates of all 4 atoms:
In 0.5000 0.5000 0.0000
Ti 0.5000 0.5000 0.5000
Lu 0.0000 0.0000 0.2573
Lu 0.0000 0.0000 0.7427

VASP energy = -5.047 eV per atom
calculated formation energy = -0.129 eV per atom
N(E_F) = 1.03 states/eV/atom
offset from the most stable computed form = 0.00 eV per formula unit
space group = No. 123

=====

A relaxed structure of LiNi2Ru, computed with GGA-PBE.

a = 5.1154 Å, b = 5.1154 Å, c = 5.1154 Å
α = 150.74°, β = 130.29°, γ = 58.73°
Last column: magnetic moment on the atom in μB.
Fractional coordinates of all 4 atoms:
Li 0.2420 0.7420 0.5000  -0.01
Ru 0.5213 0.5213 0.0000  0.55
Ni 0.7547 0.2547 0.5000  0.55
Ni 0.9821 0.9821 0.0000  0.45

VASP energy = -5.561 eV per atom
calculated formation energy = 0.127 eV per atom
N(E_F) = 1.15 states/eV/atom
offset from the most stable computed form = 0.37 eV per formula unit
space group = No. 44

=====

A relaxed structure of Be2BS, computed with GGA-PBE.

a = 3.6754 Å, b = 3.2038 Å, c = 16.1510 Å
α = 90.00°, β = 92.27°, γ = 90.00°
Fractional coordinates of all 16 atoms:
Be 0.0509 0.0000 0.4713
B 0.7953 0.0000 0.0231
Be 0.5260 0.0000 0.3738
Be 0.3100 0.0000 0.0443
Be 0.5260 0.5000 0.8738
B 0.7953 0.5000 0.5231
Be 0.9970 0.0000 0.7227
Be 0.3100 0.5000 0.5443
S 0.5102 0.5000 0.2964
B 0.5674 0.5000 0.9940
S 0.0013 0.5000 0.6466
Be 0.9970 0.5000 0.2227
S 0.5102 0.0000 0.7964
Be 0.0509 0.5000 0.9713
B 0.5674 0.0000 0.4940
S 0.0013 0.0000 0.1466

VASP energy = -4.867 eV per atom
energy relative to the elements, uncorrected = -0.3028 eV/atom
N(E_F) = 0.12 states/eV/atom
offset from the most stable computed form = 0.20 eV per formula unit
space group = No. 8

=====

A relaxed structure of BeNbSiSb2, computed with GGA-PBE.

a = 5.3203 Å, b = 4.5802 Å, c = 5.3203 Å
α = 90.00°, β = 90.00°, γ = 90.00°
Fractional coordinates of all 5 atoms:
Nb 0.0000 0.0000 0.0000
Sb 0.5000 0.0000 0.0000
Si 0.5000 0.5000 0.5000
Sb 0.0000 0.0000 0.5000
Be 0.0000 0.5000 0.0000

VASP energy = -4.511 eV per atom
energy relative to the elements, uncorrected = 0.9816 eV/atom
N(E_F) = 0.60 states/eV/atom
space group = No. 123

=====

Number 3 is which compound?
Lu2TiIn

=====

Among the records above, which one has the highest VASP energy?
BeNbSiSb2

=====

What did the first record say?
A relaxed structure of Ga4CuRh7, computed with GGA-PBE.

a = 4.4971 Å, b = 7.4589 Å, c = 6.2977 Å
α = 78.72°, β = 69.08°, γ = 72.45°
Fractional coordinates of all 12 atoms:
Rh 0.5000 0.0000 0.0000
Ga 0.7134 0.6668 0.9063
Rh 0.9251 0.3319 0.8180
Rh 0.3522 0.5723 0.7233
Ga 0.4256 0.7819 0.3668
Cu 0.0000 0.0000 0.0000
Rh 0.7905 0.8739 0.5451
Rh 0.2095 0.1261 0.4549
Rh 0.6478 0.4277 0.2767
Rh 0.0749 0.6681 0.1820
Ga 0.5744 0.2181 0.6332
Ga 0.2866 0.3332 0.0937

VASP energy = -5.765 eV per atom
calculated formation energy = -0.126 eV per atom
N(E_F) = 1.22 states/eV/atom
space group = No. 12

=====

What is the formula in the third record?
Lu2TiIn